TlOsI3 | PBE | optimized geometry

Properties
Total magnetization, μB/f.u.: 1.58
Excess energy over the best structure of this formula in the dataset, meV per atom: 0

a = 5.5306 Å, b = 5.5306 Å, c = 5.5306 Å
α = 90.00°, β = 90.00°, γ = 90.00°
Each line ends with the local moment (μB).
Fractional positions:
I1 0.0000 0.5000 0.0000  0.03
I2 0.0000 0.0000 0.5000  0.01
I3 0.5000 0.0000 0.0000  0.11
Tl1 0.5000 0.5000 0.5000  0.01
Os1 0.0000 0.0000 0.0000  1.18